(1)
LiTiVO5 | SCAN | single point on PBEsol structure

Calculated values
* SG: Cmme

Lattice parameters (Å, degrees): 6.559 6.559 4.536 90.00 90.00 92.12
Element x y z (fractional)
Li1 0.000 0.500 0.000
Li2 0.500 0.000 0.000
Ti1 0.250 0.250 0.500
Ti2 0.750 0.750 0.500
V1 0.250 0.750 0.623
V2 0.750 0.250 0.377
O1 0.024 0.258 0.269
O2 0.242 0.476 0.731
O3 0.250 0.750 0.266
O4 0.258 0.024 0.731
O5 0.476 0.242 0.269
O6 0.524 0.758 0.731
O7 0.742 0.976 0.269
O8 0.750 0.250 0.734
O9 0.758 0.524 0.269
O10 0.976 0.742 0.731

=====

(2)
Li2TiVO4 | SCAN | single point on PBEsol structure

Calculated values
* SG: Imma

Lattice parameters (Å, degrees): 5.812 5.812 5.812 120.36 119.70 89.95
Element x y z (fractional)
Li1 0.000 0.000 0.000
Li2 0.500 0.000 0.000
Li3 0.500 0.000 0.500
Li4 0.500 0.500 0.500
Ti1 0.000 0.500 0.500
Ti2 0.500 0.500 0.000
V1 0.000 0.000 0.500
V2 0.000 0.500 0.000
O1 0.238 0.745 0.492
O2 0.247 0.255 0.992
O3 0.248 0.257 0.509
O4 0.248 0.740 0.991
O5 0.752 0.260 0.009
O6 0.752 0.743 0.491
O7 0.753 0.745 0.008
O8 0.762 0.255 0.508

=====

(3)
Li2TiVO4 | SCAN | single point on PBEsol structure

Lattice parameters (Å, degrees): 5.665 5.665 9.161 108.01 108.01 90.00
Last column: magnetic moment on the atom in μB.
Element x y z (fractional)
Li1 0.126 0.626 0.752  0.00
Li2 0.626 0.126 0.752  0.00
Li3 0.374 0.374 0.248  0.00
Li4 0.874 0.874 0.248  0.00
Li5 0.000 0.500 0.000  0.00
Li6 0.500 0.000 0.000  0.00
Li7 0.250 0.250 0.500  0.00
Li8 0.750 0.750 0.500  0.00
Ti1 0.624 0.624 0.748  -0.11
Ti2 0.124 0.124 0.748  -0.11
Ti3 0.876 0.376 0.252  -0.11
Ti4 0.376 0.876 0.252  -0.11
V1 0.750 0.250 0.500  1.91
V2 0.000 0.000 0.000  1.98
V3 0.250 0.750 0.500  1.91
V4 0.500 0.500 0.000  -1.92
O1 0.499 0.499 0.499  0.01
O2 0.999 0.999 0.499  0.01
O3 0.751 0.251 0.003  0.01
O4 0.251 0.751 0.003  0.01
O5 0.749 0.749 0.997  0.01
O6 0.249 0.249 0.997  0.01
O7 0.001 0.501 0.501  0.01
O8 0.501 0.001 0.501  0.01
O9 0.875 0.375 0.749  0.03
O10 0.375 0.875 0.749  0.03
O11 0.125 0.125 0.250  0.00
O12 0.625 0.625 0.250  0.01
O13 0.875 0.875 0.750  0.00
O14 0.375 0.375 0.750  0.01
O15 0.125 0.625 0.251  0.03
O16 0.625 0.125 0.251  0.03

=====

(4)
Li2TiV2O6 | SCAN | single point on PBEsol structure

Calculated values
* SG: C2/m

Lattice parameters (Å, degrees): 6.749 6.749 5.856 109.01 109.01 24.30
Element x y z (fractional)
Li1 0.149 0.149 0.313
Li2 0.851 0.851 0.687
Ti1 0.500 0.500 0.500
V1 0.178 0.178 0.864
V2 0.822 0.822 0.136
O1 0.011 0.011 0.730
O2 0.332 0.332 0.915
O3 0.341 0.341 0.395
O4 0.659 0.659 0.605
O5 0.668 0.668 0.085
O6 0.989 0.989 0.270

=====

(5)
Li4TiV3O8 | SCAN | single point on PBEsol structure

Calculated values
* SG: R-3m

Lattice parameters (Å, degrees): 5.903 5.903 5.903 56.97 56.97 56.97
Element x y z (fractional)
Li1 0.000 0.000 0.000
Li2 0.000 0.500 0.500
Li3 0.500 0.000 0.500
Li4 0.500 0.500 0.000
Ti1 0.500 0.500 0.500
V1 0.000 0.000 0.500
V2 0.000 0.500 0.000
V3 0.500 0.000 0.000
O1 0.246 0.246 0.246
O2 0.246 0.747 0.747
O3 0.253 0.253 0.754
O4 0.253 0.754 0.253
O5 0.747 0.246 0.747
O6 0.747 0.747 0.246
O7 0.754 0.253 0.253
O8 0.754 0.754 0.754

=====

(6)
Li2TiV2O6 | SCAN | single point on PBEsol structure

Calculated values
* SG: Cmce

Lattice parameters (Å, degrees): 4.985 4.985 10.075 90.00 90.00 60.56
Element x y z (fractional)
Li1 0.148 0.352 0.250
Li2 0.352 0.148 0.750
Li3 0.648 0.852 0.250
Li4 0.852 0.648 0.750
Ti1 0.000 0.000 0.000
Ti2 0.500 0.500 0.500
V1 0.157 0.157 0.500
V2 0.343 0.343 0.000
V3 0.657 0.657 0.000
V4 0.843 0.843 0.500
O1 0.008 0.333 0.892
O2 0.167 0.492 0.608
O3 0.171 0.829 0.392
O4 0.329 0.671 0.892
O5 0.333 0.008 0.108
O6 0.492 0.167 0.392
O7 0.508 0.833 0.608
O8 0.667 0.992 0.892
O9 0.671 0.329 0.108
O10 0.829 0.171 0.608
O11 0.833 0.508 0.392
O12 0.992 0.667 0.108

=====

(7)
Li2TiV5O12 | SCAN | single point on PBEsol structure

Calculated values
* SG: C2

Lattice parameters (Å, degrees): 6.773 6.773 5.436 109.58 109.58 74.45
Element x y z (fractional)
Li1 0.000 0.000 0.000
Li2 0.628 0.372 0.500
Ti1 0.384 0.616 0.000
V1 0.154 0.304 0.574
V2 0.249 0.751 0.500
V3 0.473 0.059 0.921
V4 0.696 0.846 0.426
V5 0.941 0.527 0.079
O1 0.111 0.711 0.102
O2 0.265 0.031 0.513
O3 0.289 0.889 0.898
O4 0.341 0.477 0.601
O5 0.354 0.334 0.979
O6 0.523 0.659 0.399
O7 0.626 0.064 0.272
O8 0.666 0.646 0.021
O9 0.691 0.002 0.774
O10 0.936 0.374 0.728
O11 0.969 0.735 0.487
O12 0.998 0.309 0.226

=====

(8)
Li4Ti2V7O18 | SCAN | single point on PBEsol structure

Calculated values
* SG: Pmc2_1

Lattice parameters (Å, degrees): 2.816 9.088 23.813 90.00 90.00 90.00
Element x y z (fractional)
Li1 0.000 0.052 0.000
Li2 0.000 0.146 0.235
Li3 0.000 0.410 0.815
Li4 0.000 0.443 0.028
Li5 0.000 0.557 0.528
Li6 0.000 0.590 0.315
Li7 0.000 0.854 0.735
Li8 0.000 0.948 0.500
Ti1 0.000 0.242 0.914
Ti2 0.000 0.246 0.118
Ti3 0.000 0.754 0.618
Ti4 0.000 0.758 0.414
V1 0.000 0.227 0.713
V2 0.000 0.259 0.495
V3 0.000 0.292 0.337
V4 0.000 0.708 0.837
V5 0.000 0.741 0.995
V6 0.000 0.773 0.213
V7 0.500 0.053 0.828
V8 0.500 0.107 0.592
V9 0.500 0.403 0.425
V10 0.500 0.428 0.208
V11 0.500 0.572 0.708
V12 0.500 0.597 0.925
V13 0.500 0.893 0.092
V14 0.500 0.947 0.328
O1 0.000 0.037 0.880
O2 0.000 0.046 0.089
O3 0.000 0.099 0.772
O4 0.000 0.241 0.579
O5 0.000 0.245 0.415
O6 0.000 0.362 0.258
O7 0.000 0.445 0.931
O8 0.000 0.451 0.156
O9 0.000 0.549 0.656
O10 0.000 0.555 0.431
O11 0.000 0.638 0.758
O12 0.000 0.755 0.915
O13 0.000 0.759 0.079
O14 0.000 0.901 0.272
O15 0.000 0.954 0.589
O16 0.000 0.963 0.380
O17 0.500 0.108 0.506
O18 0.500 0.142 0.669
O19 0.500 0.154 0.312
O20 0.500 0.186 0.962
O21 0.500 0.211 0.177
O22 0.500 0.265 0.853
O23 0.500 0.314 0.072
O24 0.500 0.368 0.733
O25 0.500 0.406 0.507
O26 0.500 0.440 0.344
O27 0.500 0.560 0.844
O28 0.500 0.594 0.007
O29 0.500 0.632 0.233
O30 0.500 0.686 0.572
O31 0.500 0.735 0.353
O32 0.500 0.789 0.677
O33 0.500 0.814 0.462
O34 0.500 0.846 0.812
O35 0.500 0.858 0.169
O36 0.500 0.892 0.006

=====

Size of the total moment values, unit μB/f.u., following the record order: 0.00, 2.20, 0.99, 0.92, 6.80, 4.00, 7.02, 6.03.
Electronic total energy values, unit eV per cell, following the record order: -177.82, -170.28, -340.61, -122.52, -170.02, -245.47, -235.83, -717.52.